Crystalline ScCoBr2 at its relaxed geometry, computed with PBE-GGA.

```
ScCoBr2
1.0
-2.314 -1.541 2.345
2.509 -0.195 2.348
-0.228 5.494 3.386
Br Sc Co
2 1 1
Cartesian
0.436 -0.008 0.425
0.705 2.658 2.442
0.554 3.204 5.473
-0.586 0.554 2.606
```

Values from the calculation:
uncorrected formation energy: -208 meV/atom
crystal system: monoclinic
energy above the lowest structure with this stoichiometry: 1.81 eV/f.u.